Run i
A relaxed structure of Tb3Pm2Tm3, computed with PBE-GGA.

The structure in POSCAR format:
```
Tb3Pm2Tm3
1.0
3.6316 -0.3900 0.0000
-2.7303 8.7394 0.0000
0.0000 0.0000 16.7961
Tm Pm Tb
6 4 6
direct
0.9869 0.9873 0.6020
0.9869 0.9873 0.8980
0.0131 0.0127 0.1020
0.0131 0.0127 0.3980
0.3351 0.8354 0.7500
0.6649 0.1646 0.2500
0.4458 0.4461 0.3548
0.5542 0.5539 0.6452
0.5542 0.5539 0.8548
0.4458 0.4461 0.1452
0.7401 0.2395 0.7500
0.7881 0.2888 0.5191
0.7881 0.2888 0.9809
0.2599 0.7605 0.2500
0.2119 0.7112 0.4809
0.2119 0.7112 0.0191
```

## Properties
Symmetry: No. 51
Density of states at the Fermi level: 24.563 states/eV per cell

Run ii
A relaxed structure of Tb3Pm2Tm3, computed with PBE-GGA.

The structure in POSCAR format:
```
Tb3Pm2Tm3
1.0
-2.5894 3.0477 -3.0525
-0.1628 -3.6306 -3.4868
-7.2200 -3.0868 7.1885
Pm Tb Tm
2 3 3
direct
0.7499 0.2499 0.4997
0.2501 0.7501 0.5003
0.6229 0.6229 0.2457
0.3771 0.3771 0.7543
0.5000 0.0000 0.0000
0.8767 0.8767 0.7534
0.0000 0.5000 0.0000
0.1233 0.1233 0.2466
```

## Properties
Symmetry: No. 71
Density of states at the Fermi level: 11.641 states/eV per cell

Of them, run i has the lowest stability.

Run i
A relaxed structure of TbPm2Tm, computed with PBE-GGA.

The structure in POSCAR format:
```
TbPm2Tm
1.0
-1.1236 1.6215 3.0211
-3.7704 -4.8312 1.1921
12.2225 -1.9750 3.4516
Tb Pm Tm
2 4 2
direct
0.7925 0.9806 0.0703
0.2916 0.4806 0.0703
0.6665 0.4378 0.8193
0.4187 0.3572 0.3220
0.1669 0.9378 0.8193
0.9176 0.8572 0.3220
0.0431 0.3993 0.5719
0.5427 0.8993 0.5719
```

## Properties
Symmetry: No. 8
Density of states at the Fermi level: 12.213 states/eV per cell

Run ii
A relaxed structure of TbPm2Tm, computed with PBE-GGA.

The structure in POSCAR format:
```
TbPm2Tm
1.0
-1.2526 -1.8710 -5.2485
-1.5935 -5.4267 -0.7924
-5.4059 -1.2157 -1.3837
Tb Pm Tm
1 2 1
direct
0.0000 0.0000 0.0000
0.7500 0.7500 0.7500
0.2500 0.2500 0.2500
0.5000 0.5000 0.5000
```

## Properties
Symmetry: No. 225
Density of states at the Fermi level: 7.939 states/eV per cell

Of them, run ii has the lowest stability.

Run i
A relaxed structure of Tb2Pm3Tm8, computed with PBE-GGA.

The structure in POSCAR format:
```
Tb2Pm3Tm8
1.0
-1.8371 4.4306 1.4015
1.5174 -1.7545 7.5352
8.7162 5.7884 -6.8742
Tb Tm Pm
2 8 3
direct
0.5000 0.1224 0.4257
0.5000 0.8776 0.5743
0.0000 0.7823 0.3602
0.0000 0.0707 0.2210
0.0000 0.2177 0.6398
0.0000 0.9293 0.7790
0.5000 0.5730 0.7109
0.5000 0.2855 0.8514
0.5000 0.7145 0.1486
0.5000 0.4270 0.2891
0.0000 0.6476 0.9290
0.5000 0.0000 0.0000
0.0000 0.3524 0.0710
```

## Properties
Symmetry: No. 10
Density of states at the Fermi level: 19.442 states/eV per cell

Run ii
A relaxed structure of Tb2Pm3Tm8, computed with PBE-GGA.

The structure in POSCAR format:
```
Tb2Pm3Tm8
1.0
-3.7585 -5.2187 -2.4361
-4.4548 -5.6126 6.1096
-9.3443 0.2274 1.1429
Pm Tm Tb
3 8 2
direct
0.5000 0.0000 0.0000
0.0000 0.8232 0.1768
0.0000 0.1768 0.8232
0.0120 0.1929 0.1929
0.0700 0.5819 0.5819
0.4391 0.4376 0.7989
0.4391 0.7989 0.4376
0.9880 0.8071 0.8071
0.9300 0.4181 0.4181
0.5609 0.2011 0.5624
0.5609 0.5624 0.2011
0.5123 0.7821 0.7821
0.4877 0.2179 0.2179
```

## Properties
Symmetry: No. 12
Density of states at the Fermi level: 16.377 states/eV per cell

Of them, run ii has the lowest stability.

Run i
A relaxed structure of Tb3Pm6Tm, computed with PBE-GGA.

The structure in POSCAR format:
```
Tb3Pm6Tm
1.0
8.7508 0.0000 4.6438
3.1433 8.1668 4.6438
2.1818 1.4981 6.4555
Pm Tb Tm
6 3 1
direct
0.7709 0.0982 0.7011
0.9289 0.6022 0.1986
0.6022 0.2703 0.1986
0.2703 0.9289 0.1986
0.0982 0.4297 0.7011
0.4297 0.7709 0.7011
0.3498 0.3498 0.9506
0.1001 0.1001 0.6997
0.5999 0.5999 0.2004
0.8499 0.8499 0.4503
```

## Properties
Symmetry: No. 148
Density of states at the Fermi level: 20.301 states/eV per cell

Run ii
A relaxed structure of Tb3Pm6Tm, computed with PBE-GGA.

The structure in POSCAR format:
```
Tb3Pm6Tm
1.0
-0.2282 -6.1425 -1.6259
5.1011 -2.6939 9.4618
-11.0565 0.5459 -0.5107
Pm Tb Tm
12 6 2
direct
0.8600 0.9428 0.5219
0.3600 0.0572 0.4781
0.5492 0.6254 0.7122
0.5492 0.2878 0.3746
0.0492 0.7122 0.6254
0.3600 0.5219 0.9428
0.0492 0.3746 0.2878
0.3894 0.9627 0.0373
0.8894 0.0373 0.9627
0.8600 0.4781 0.0572
0.1504 0.7218 0.2782
0.6504 0.2782 0.7218
0.0777 0.3861 0.6139
0.5777 0.6139 0.3861
0.4666 0.2831 0.0551
0.4666 0.9449 0.7169
0.9666 0.7169 0.9449
0.9666 0.0551 0.2831
0.1162 0.1959 0.8041
0.6162 0.8041 0.1959
```

## Properties
Symmetry: No. 36
Density of states at the Fermi level: 27.107 states/eV per cell

Of them, run i has the lowest stability.

Run i
A relaxed structure of TbPm7Tm4, computed with PBE-GGA.

The structure in POSCAR format:
```
TbPm7Tm4
1.0
6.4157 -1.8597 2.7712
0.7141 5.8154 2.2388
2.7798 -2.2888 10.8953
Pm Tb Tm
7 1 4
direct
0.3349 0.7782 0.6651
0.2548 0.4988 0.9983
0.6651 0.2218 0.3349
0.5000 0.0000 0.0000
0.7452 0.5012 0.0017
0.9157 0.7196 0.3354
0.0843 0.2804 0.6646
0.0000 0.0000 0.0000
0.5872 0.2777 0.6663
0.1640 0.2193 0.3360
0.8360 0.7807 0.6640
0.4128 0.7223 0.3337
```

## Properties
Symmetry: No. 2
Density of states at the Fermi level: 14.957 states/eV per cell

Run ii
A relaxed structure of TbPm7Tm4, computed with PBE-GGA.

The structure in POSCAR format:
```
TbPm7Tm4
1.0
3.5906 0.0000 0.0000
-1.7953 3.1095 0.0000
0.0000 0.0000 35.0218
Pm Tm Tb
7 4 1
direct
0.3333 0.6667 0.4161
0.3333 0.6667 0.1650
0.0000 0.0000 0.2510
0.6667 0.3333 0.8350
0.0000 0.0000 0.7490
0.0000 0.0000 0.0000
0.6667 0.3333 0.5839
0.6667 0.3333 0.0824
0.3333 0.6667 0.9176
0.3333 0.6667 0.6663
0.6667 0.3333 0.3337
0.0000 0.0000 0.5000
```

## Properties
Symmetry: No. 164
Density of states at the Fermi level: 14.492 states/eV per cell

Of them, run ii has the lowest stability.